Entry 1:
VASP calculation (PBE-GGA) on BaSc2In after structural relaxation.

Formation enthalpy at 0 K: 86 meV/atom
Space group: Imm2 (44)
N(E_F): 4.78 states/eV per cell
Spin magnetization: 0.00 μB/f.u.

Structure (POSCAR):
```
BaSc2In
1.0
-2.7694 5.9666 1.0518
-5.1254 2.0923 -3.7052
2.3829 -4.6316 4.1528
Ba In Sc
1 1 2
direct
0.4806 0.4806 0.0000
0.2262 0.7262 0.5000
0.0256 0.0256 0.0000
0.7676 0.2676 0.5000
```


Entry 2:
VASP calculation (PBE-GGA) on ZrCr2Tc after structural relaxation.

Formation enthalpy at 0 K: 157 meV/atom
Relative energy among the computed polymorphs: 0.092 eV/atom
Space group: P2/m (10)
N(E_F): 3.33 states/eV per cell
Spin magnetization: 0.00 μB/f.u.

Structure (POSCAR):
```
ZrCr2Tc
1.0
-1.9558 -1.0040 3.5525
0.2564 -2.7457 -0.6348
4.6056 -1.1889 2.1996
Cr Tc Zr
2 1 1
direct
0.0000 0.9812 0.0444
0.0000 0.5188 0.4556
0.5000 0.2500 0.2500
0.5000 0.7500 0.7500
```


Entry 3:
VASP calculation (PBE-GGA) on BaReCl2 after structural relaxation.

Formation energy without anion corrections: -0.004 eV/atom
Relative energy among the computed polymorphs: 0.141 eV/atom
Space group: I-42d (122)
N(E_F): 4.89 states/eV per cell
Spin magnetization: 1.01 μB/f.u.

Structure (POSCAR):
```
BaReCl2
1.0
-0.7515 -4.0786 -3.4327
-2.5907 -2.7503 3.8350
-8.1993 -0.3498 -2.0109
Re Ba Cl
2 2 4
direct
0.0000 0.0000 0.0000
0.7500 0.2500 0.5000
0.5000 0.5000 0.0000
0.2500 0.7500 0.5000
0.7427 0.1250 0.2500
0.0073 0.6250 0.2500
0.3750 0.2573 0.7500
0.8750 0.9927 0.7500
```